Material: Ni6SbRu
Method: DFT, PBE
State: relaxed

Properties
E_form (uncorrected) in eV per atom: 0.014
Magnetic moment in μB/cell: 14.28
Space group: Cmmm, No. 65

Structure (POSCAR):
```
Ni6SbRu
1.0
-0.625 3.219 -5.459
-5.762 -1.107 2.476
0.524 8.972 5.231
Ni Sb Ru
24 4 4
direct
0.632 0.879 0.879 Ni
0.117 0.372 0.372 Ni
0.117 0.372 0.128 Ni
0.500 0.500 0.750 Ni
0.368 0.121 0.621 Ni
0.632 0.879 0.621 Ni
0.879 0.632 0.621 Ni
0.372 0.117 0.372 Ni
0.879 0.632 0.879 Ni
0.754 0.246 0.006 Ni
0.246 0.754 0.494 Ni
0.000 0.000 0.250 Ni
0.883 0.628 0.128 Ni
0.628 0.883 0.372 Ni
0.000 0.000 0.750 Ni
0.628 0.883 0.128 Ni
0.368 0.121 0.879 Ni
0.883 0.628 0.372 Ni
0.754 0.246 0.494 Ni
0.121 0.368 0.879 Ni
0.500 0.500 0.250 Ni
0.372 0.117 0.128 Ni
0.246 0.754 0.006 Ni
0.121 0.368 0.621 Ni
0.251 0.749 0.750 Sb
0.749 0.251 0.750 Sb
0.500 0.500 0.496 Sb
0.500 0.500 0.004 Sb
0.000 0.000 0.003 Ru
0.750 0.250 0.250 Ru
0.000 0.000 0.497 Ru
0.250 0.750 0.250 Ru
```